VASP calculation (GGA-PBE) on a relaxed BaLiBr crystal.

Unit cell a=5.5034 b=5.5034 c=5.5034 alpha=60.00 beta=60.00 gamma=60.00
Last column: nearest neighbours and their distance in Å.
Positions (direct):
Ba (0.0000, 0.0000, 0.0000)  4 Br 3.37
Li (0.5000, 0.5000, 0.5000)  4 Br 3.37
Br (0.7500, 0.7500, 0.7500)  4 Li 3.37, 4 Ba 3.37

- N(E_F): 0.41 states/eV per atom
- Magnetization: 1.55 μB/f.u.
- Space group: No. 216
- Polymorph energy (0 for the lowest one): 326.1 meV/atom
- Raw formation energy: -0.69 eV/atom